GGA-PBE Sr2Si3Pd9, optimized geometry; E_tot = -5.395 eV per atom
1.0
6.808 -3.770 0.000
6.808 3.770 0.000
-4.674 0.000 9.333
Sr Si Pd
4 6 18
Direct
0.086 0.261 0.246
0.261 0.086 0.746
0.739 0.914 0.254
0.914 0.739 0.754
0.000 0.500 0.000
0.165 0.664 0.498
0.336 0.835 0.002
0.500 0.000 0.500
0.664 0.165 0.998
0.835 0.336 0.502
0.005 0.879 0.079
0.121 0.995 0.421
0.185 0.355 0.564
0.208 0.582 0.253
0.314 0.500 0.977
0.355 0.185 0.064
0.362 0.638 0.750
0.418 0.792 0.247
0.500 0.314 0.477
0.500 0.686 0.523
0.582 0.208 0.753
0.638 0.362 0.250
0.645 0.815 0.936
0.686 0.500 0.023
0.792 0.418 0.747
0.815 0.645 0.436
0.879 0.005 0.579
0.995 0.121 0.921

=====

GGA-PBE ZnCd2Se, optimized geometry; E_tot = -1.701 eV per atom
1.0
2.924 0.000 0.000
0.000 3.776 0.000
-0.018 0.000 7.974
Zn Cd Se
1 2 1
Direct
0.000 0.000 0.000
0.500 0.500 0.772
0.998 0.000 0.503
0.000 0.500 0.220

=====

GGA-PBE LaTeRu2, optimized geometry; E_tot = -6.811 eV per atom
1.0
4.748 0.000 0.000
0.000 4.229 0.000
-2.185 0.000 4.574
La Te Ru
1 1 2
Direct
0.000 0.000 0.000
0.658 0.500 0.388
0.336 0.500 0.799
0.410 0.000 0.583

=====

GGA-PBE ScTe2Rh, optimized geometry; E_tot = -5.350 eV per atom
1.0
2.307 -2.653 0.000
2.307 2.653 0.000
0.000 0.000 6.983
Sc Te Rh
1 2 1
Direct
0.000 0.000 0.000
0.500 0.500 0.260
0.500 0.500 0.740
0.000 0.000 0.500

=====

| no. | N(E_F) (states/eV/f.u.) | ρ (g/cm³) | ΔE_f (raw) (meV per atom) |
| --- | --- | --- | --- |
| 1 | 5.7 | 8.44 | -654.6 |
| 2 | 1.5 | 6.96 | -53.6 |
| 3 | 4.7 | 8.47 | -156.1 |
| 4 | 3.5 | 7.83 | -358.0 |